(1)
Material: BeCd4Ni
Method: DFT, PBE
State: optimized geometry

Formation energy from the elements ... 633 meV per atom

```
data_BeCd4Ni
_chemical_formula_sum 'Be1 Cd4 Ni1'
_space_group_name_H-M_alt 'P 1'
_space_group_IT_number 1
_cell_length_a 5.502
_cell_length_b 5.502
_cell_length_c 5.502
_cell_angle_alpha 60.00
_cell_angle_beta 60.00
_cell_angle_gamma 60.00
loop_
_space_group_symop_operation_xyz
'x,y,z'
loop_
_atom_site_label
_atom_site_type_symbol
_atom_site_fract_x
_atom_site_fract_y
_atom_site_fract_z
Cd1 Cd 0.875 0.375 0.375
Cd2 Cd 0.375 0.375 0.375
Cd3 Cd 0.375 0.875 0.375
Cd4 Cd 0.375 0.375 0.875
Ni1 Ni 0.750 0.750 0.750
Be1 Be 0.000 0.000 0.000
```

(2)
Material: BeTcOs
Method: DFT, PBE
State: optimized geometry

Formation energy from the elements ... -16 meV per atom
Energy above the lowest structure with this stoichiometry ... 219 meV/atom

```
data_BeTcOs
_chemical_formula_sum 'Be1 Tc1 Os1'
_space_group_name_H-M_alt 'P 1'
_space_group_IT_number 1
_cell_length_a 4.020
_cell_length_b 4.020
_cell_length_c 2.733
_cell_angle_alpha 90.00
_cell_angle_beta 90.00
_cell_angle_gamma 120.00
loop_
_space_group_symop_operation_xyz
'x,y,z'
loop_
_atom_site_label
_atom_site_type_symbol
_atom_site_fract_x
_atom_site_fract_y
_atom_site_fract_z
Tc1 Tc 0.667 0.333 0.668
Be1 Be 0.000 0.000 0.164
Os1 Os 0.333 0.667 0.168
```